Below is crystalline MgIn6Sn3 at its relaxed geometry, with properties calculated at the GGA-PBE level.

The structure belongs to space group P2_1/c (No. 14); the cell edges are 5.729, 9.343 and 11.790 Å and the angles 90.00°, 117.09° and 90.00°. The inequivalent atoms are Mg at (0.000, 0.000, 0.000), In at (0.042, 0.167, 0.566), In at (0.356, 0.684, 0.743), In at (0.412, 0.165, 0.945), Sn at (0.013, 0.577, 0.255) and Sn at (0.500, 0.000, 0.500).

The crystal system is monoclinic.

---

Below is crystalline YRe2As at its relaxed geometry, with properties calculated at the GGA-PBE level.

The structure belongs to space group I-42d (No. 122); the cell edges are 4.174, 4.174 and 18.787 Å and the angles 90.00°, 90.00° and 90.00°. The inequivalent atoms are Y at (0.000, 0.000, 0.000), Re at (0.151, 0.250, 0.625) and As at (0.000, 0.000, 0.500).

The crystal system is tetragonal.

---

Below is crystalline KY2MgAu at its relaxed geometry, with properties calculated at the GGA-PBE level.

The structure belongs to space group P4/mmm (No. 123); the cell edges are 5.703, 5.703 and 6.006 Å and the angles 90.00°, 90.00° and 90.00°. The inequivalent atoms are K at (0.000, 0.000, 0.000), Y at (0.000, 0.500, 0.500), Mg at (0.000, 0.000, 0.500) and Au at (0.500, 0.500, 0.000).

The crystal system is tetragonal.

---

Below is crystalline BeCr2Au at its relaxed geometry, with properties calculated at the GGA-PBE level.

The structure belongs to space group Cmm2 (No. 35); the cell edges are 3.010, 4.302 and 7.892 Å and the angles 90.00°, 90.00° and 90.00°. The inequivalent atoms are Be at (0.000, 0.000, 0.000), Cr at (0.000, 0.000, 0.547), Cr at (0.000, 0.500, 0.772) and Au at (0.000, 0.500, 0.246).

The crystal system is orthorhombic. The value obtained for the energy above the most stable polymorph in this dataset is 0.1911 eV/atom.

---

| no. | calculated volume (Å³/cell) | ΔE_f (kJ/mol of formula units) |
| --- | --- | --- |
| 1 | 561.94 | 45.7 |
| 2 | 327.30 | 109.8 |
| 3 | 195.34 | 364.9 |
| 4 | 102.20 | 97.5 |